1.
The following is a PBE-GGA calculation of KHg3Cl after structural relaxation, from Alexandria via LeMat-Bulk.

```
data_KHg3Cl
_chemical_formula_sum 'K1 Hg3 Cl1'
_cell_length_a 6.351
_cell_length_b 6.351
_cell_length_c 6.351
_cell_angle_alpha 90.00
_cell_angle_beta 90.00
_cell_angle_gamma 90.00
_space_group_name_H-M_alt 'P 1'
_space_group_IT_number 1
loop_
_space_group_symop_operation_xyz
'x,y,z'
loop_
_atom_site_label
_atom_site_type_symbol
_atom_site_fract_x
_atom_site_fract_y
_atom_site_fract_z
K1 K 0.000 0.000 0.000
Hg1 Hg 0.000 0.500 0.500
Hg2 Hg 0.500 0.000 0.500
Hg3 Hg 0.500 0.500 0.000
Cl1 Cl 0.500 0.500 0.500
```

Results
- Relative energy among the computed polymorphs: 0 meV/atom
- Formation energy (no corrections): -1.23 eV/f.u.
- SG: Pm-3m
- Magnetic moment: 0.00 μB/f.u.
- Total energy: -1.02 eV per atom
- DOS at the Fermi energy: 0.00 states/eV/f.u.

2.
The following is a PBE-GGA calculation of K5HgCl8 after structural relaxation, from Alexandria via LeMat-Bulk.

```
data_K5HgCl8
_chemical_formula_sum 'K5 Hg1 Cl8'
_cell_length_a 8.260
_cell_length_b 8.260
_cell_length_c 8.260
_cell_angle_alpha 112.02
_cell_angle_beta 112.02
_cell_angle_gamma 104.48
_space_group_name_H-M_alt 'P 1'
_space_group_IT_number 1
loop_
_space_group_symop_operation_xyz
'x,y,z'
loop_
_atom_site_label
_atom_site_type_symbol
_atom_site_fract_x
_atom_site_fract_y
_atom_site_fract_z
K1 K 0.000 0.000 0.000
K2 K 0.249 0.652 0.134
K3 K 0.348 0.482 0.597
K4 K 0.518 0.115 0.866
K5 K 0.885 0.751 0.403
Hg1 Hg 0.750 0.250 0.500
Cl1 Cl 0.064 0.246 0.718
Cl2 Cl 0.171 0.759 0.780
Cl3 Cl 0.241 0.021 0.412
Cl4 Cl 0.527 0.346 0.282
Cl5 Cl 0.609 0.829 0.588
Cl6 Cl 0.654 0.936 0.182
Cl7 Cl 0.754 0.473 0.818
Cl8 Cl 0.979 0.391 0.220
```

Results
- Relative energy among the computed polymorphs: 0 meV/atom
- Formation energy (no corrections): -20.23 eV/f.u.
- SG: I-4
- Magnetic moment: 1.17 μB/f.u.
- Total energy: -2.91 eV per atom
- DOS at the Fermi energy: 13.45 states/eV/f.u.

3.
The following is a PBE-GGA calculation of KHg2Cl4 after structural relaxation, from Alexandria via LeMat-Bulk.

```
data_KHg2Cl4
_chemical_formula_sum 'K2 Hg4 Cl8'
_cell_length_a 6.742
_cell_length_b 8.848
_cell_length_c 9.760
_cell_angle_alpha 114.94
_cell_angle_beta 107.80
_cell_angle_gamma 94.61
_space_group_name_H-M_alt 'P 1'
_space_group_IT_number 1
loop_
_space_group_symop_operation_xyz
'x,y,z'
loop_
_atom_site_label
_atom_site_type_symbol
_atom_site_fract_x
_atom_site_fract_y
_atom_site_fract_z
K1 K 0.000 0.000 0.000
K2 K 0.324 0.825 0.647
Hg1 Hg 0.224 0.455 0.724
Hg2 Hg 0.504 0.270 0.724
Hg3 Hg 0.628 0.384 0.276
Hg4 Hg 0.643 0.884 0.273
Cl1 Cl 0.383 0.175 0.954
Cl2 Cl 0.388 0.054 0.317
Cl3 Cl 0.393 0.570 0.323
Cl4 Cl 0.572 0.777 0.953
Cl5 Cl 0.760 0.091 0.710
Cl6 Cl 0.921 0.252 0.319
Cl7 Cl 0.922 0.742 0.321
Cl8 Cl 0.954 0.620 0.711
```

Results
- Relative energy among the computed polymorphs: 0 meV/atom
- Formation energy (no corrections): -6.57 eV/f.u.
- SG: P1
- Magnetic moment: 0.00 μB/f.u.
- Total energy: -2.24 eV per atom
- DOS at the Fermi energy: 0.00 states/eV/f.u.

4.
The following is a PBE-GGA calculation of KHg2Cl4 after structural relaxation, from Alexandria via LeMat-Bulk.

```
data_KHg2Cl4
_chemical_formula_sum 'K1 Hg2 Cl4'
_cell_length_a 6.263
_cell_length_b 6.263
_cell_length_c 7.174
_cell_angle_alpha 90.00
_cell_angle_beta 90.00
_cell_angle_gamma 90.00
_space_group_name_H-M_alt 'P 1'
_space_group_IT_number 1
loop_
_space_group_symop_operation_xyz
'x,y,z'
loop_
_atom_site_label
_atom_site_type_symbol
_atom_site_fract_x
_atom_site_fract_y
_atom_site_fract_z
K1 K 0.000 0.000 0.000
Hg1 Hg 0.000 0.500 0.500
Hg2 Hg 0.500 0.000 0.500
Cl1 Cl 0.258 0.258 0.291
Cl2 Cl 0.258 0.742 0.709
Cl3 Cl 0.742 0.258 0.709
Cl4 Cl 0.742 0.742 0.291
```

Results
- Relative energy among the computed polymorphs: 134 meV/atom
- Formation energy (no corrections): -5.64 eV/f.u.
- SG: P-42m
- Magnetic moment: 0.00 μB/f.u.
- Total energy: -2.10 eV per atom
- DOS at the Fermi energy: 2.88 states/eV/f.u.

5.
The following is a PBE-GGA calculation of KHg3Cl after structural relaxation, from Alexandria via LeMat-Bulk.

```
data_KHg3Cl
_chemical_formula_sum 'K1 Hg3 Cl1'
_cell_length_a 6.494
_cell_length_b 6.494
_cell_length_c 6.494
_cell_angle_alpha 90.00
_cell_angle_beta 90.00
_cell_angle_gamma 90.00
_space_group_name_H-M_alt 'P 1'
_space_group_IT_number 1
loop_
_space_group_symop_operation_xyz
'x,y,z'
loop_
_atom_site_label
_atom_site_type_symbol
_atom_site_fract_x
_atom_site_fract_y
_atom_site_fract_z
K1 K 0.000 0.000 0.000
Hg1 Hg 0.000 0.000 0.500
Hg2 Hg 0.000 0.500 0.000
Hg3 Hg 0.500 0.000 0.000
Cl1 Cl 0.500 0.500 0.500
```

Results
- Relative energy among the computed polymorphs: 63 meV/atom
- Formation energy (no corrections): -0.92 eV/f.u.
- SG: Pm-3m
- Magnetic moment: 0.00 μB/f.u.
- Total energy: -0.95 eV per atom
- DOS at the Fermi energy: 0.00 states/eV/f.u.

6.
The following is a PBE-GGA calculation of KHgCl3 after structural relaxation, from Alexandria via LeMat-Bulk.

```
data_KHgCl3
_chemical_formula_sum 'K2 Hg2 Cl6'
_cell_length_a 8.476
_cell_length_b 8.476
_cell_length_c 4.657
_cell_angle_alpha 90.98
_cell_angle_beta 90.98
_cell_angle_gamma 71.14
_space_group_name_H-M_alt 'P 1'
_space_group_IT_number 1
loop_
_space_group_symop_operation_xyz
'x,y,z'
loop_
_atom_site_label
_atom_site_type_symbol
_atom_site_fract_x
_atom_site_fract_y
_atom_site_fract_z
K1 K 0.234 0.234 0.240
K2 K 0.766 0.766 0.760
Hg1 Hg 0.298 0.702 0.000
Hg2 Hg 0.702 0.298 0.000
Cl1 Cl 0.061 0.667 0.257
Cl2 Cl 0.333 0.939 0.743
Cl3 Cl 0.396 0.396 0.756
Cl4 Cl 0.604 0.604 0.244
Cl5 Cl 0.667 0.061 0.257
Cl6 Cl 0.939 0.333 0.743
```

Results
- Formation energy (no corrections): -5.74 eV/f.u.
- SG: C2/m
- Magnetic moment: 0.00 μB/f.u.
- Total energy: -2.54 eV per atom
- DOS at the Fermi energy: 0.00 states/eV/f.u.

Repeat the sixth record exactly.
The following is a PBE-GGA calculation of KHgCl3 after structural relaxation, from Alexandria via LeMat-Bulk.

```
data_KHgCl3
_chemical_formula_sum 'K2 Hg2 Cl6'
_cell_length_a 8.476
_cell_length_b 8.476
_cell_length_c 4.657
_cell_angle_alpha 90.98
_cell_angle_beta 90.98
_cell_angle_gamma 71.14
_space_group_name_H-M_alt 'P 1'
_space_group_IT_number 1
loop_
_space_group_symop_operation_xyz
'x,y,z'
loop_
_atom_site_label
_atom_site_type_symbol
_atom_site_fract_x
_atom_site_fract_y
_atom_site_fract_z
K1 K 0.234 0.234 0.240
K2 K 0.766 0.766 0.760
Hg1 Hg 0.298 0.702 0.000
Hg2 Hg 0.702 0.298 0.000
Cl1 Cl 0.061 0.667 0.257
Cl2 Cl 0.333 0.939 0.743
Cl3 Cl 0.396 0.396 0.756
Cl4 Cl 0.604 0.604 0.244
Cl5 Cl 0.667 0.061 0.257
Cl6 Cl 0.939 0.333 0.743
```

Results
- Formation energy (no corrections): -5.74 eV/f.u.
- SG: C2/m
- Magnetic moment: 0.00 μB/f.u.
- Total energy: -2.54 eV per atom
- DOS at the Fermi energy: 0.00 states/eV/f.u.

> Number 3 is which compound?

KHg2Cl4

> What is the DOS at the Fermi energy in the first record?

0.00 states/eV/f.u.